# 1
! TbTcBi (PBE, relaxed); values from VASP
&SYSTEM
  ibrav = 0, nat = 6, ntyp = 3
/
ATOMIC_SPECIES
Bi 208.98 Bi.upf
Tc 98.00 Tc.upf
Tb 158.93 Tb.upf
ATOMIC_POSITIONS angstrom
Bi 1.809 0.224 2.596
Bi 7.019 5.960 6.016
Tc 9.388 4.840 7.624
Tc -0.559 1.344 0.987
Tb 5.829 2.672 5.263
Tb 2.999 3.512 3.348
CELL_PARAMETERS angstrom
-2.128 2.073 1.305
-0.432 -2.019 2.504
10.109 6.157 6.707
! Mass density = 10.8 Mg/m³
! Symmetry = P4/nmm
! Total energy = -6.12 eV per atom
! DOS(E_F) = 6.5 states/eV per cell

***

# 2
! CrSbSe2 (PBE, relaxed); values from VASP
&SYSTEM
  ibrav = 0, nat = 4, ntyp = 3
/
ATOMIC_SPECIES
Sb 121.76 Sb.upf
Cr 52.00 Cr.upf
Se 78.96 Se.upf
ATOMIC_POSITIONS angstrom
Sb -3.167 -0.405 4.851
Cr 0.000 0.000 0.000
Se -1.583 -0.202 2.425
Se -4.750 -0.607 7.276
CELL_PARAMETERS angstrom
-1.198 2.183 4.035
-4.391 -0.458 1.730
-0.745 -2.535 3.937
! Mass density = 7.3 Mg/m³
! Symmetry = Fm-3m
! Formation energy (no corrections) = 492 meV per atom
! Total energy = -4.69 eV per atom
! Energy above the lowest structure with this stoichiometry = 3.23 eV/f.u.
! DOS(E_F) = 4.1 states/eV per cell

***

- Number 1 is which compound?
  TbTcBi